# 1
# PBE PmNd3Dy12, relaxed
# * space group: No. 123
# * DFT formation energy: 0.0192 eV/atom
# * uncorrected energy: -4.623 eV/atom
data_PmNd3Dy12
_space_group_name_H-M_alt 'P 1'
_space_group_IT_number 1
_space_group_name_Hall 'P 1'
_cell_length_a 5.0544
_cell_length_b 5.0544
_cell_length_c 20.2197
_cell_angle_alpha 90.00
_cell_angle_beta 90.00
_cell_angle_gamma 90.00
loop_
_atom_site_label
_atom_site_type_symbol
_atom_site_fract_x
_atom_site_fract_y
_atom_site_fract_z
Dy1 Dy 0.5000 0.5000 0.7504
Dy2 Dy 0.5000 0.0000 0.6252
Dy3 Dy 0.5000 0.0000 0.8754
Dy4 Dy 0.0000 0.5000 0.1246
Dy5 Dy 0.5000 0.5000 0.0000
Dy6 Dy 0.5000 0.0000 0.1246
Dy7 Dy 0.0000 0.5000 0.8754
Dy8 Dy 0.5000 0.5000 0.5000
Dy9 Dy 0.0000 0.5000 0.3748
Dy10 Dy 0.5000 0.0000 0.3748
Dy11 Dy 0.0000 0.5000 0.6252
Dy12 Dy 0.5000 0.5000 0.2496
Nd1 Nd 0.0000 0.0000 0.2498
Nd2 Nd 0.0000 0.0000 0.5000
Nd3 Nd 0.0000 0.0000 0.7502
Pm1 Pm 0.0000 0.0000 0.0000



# 2
# PBE Rb2TeICl6, relaxed
# * space group: No. 139
# * uncorrected energy: -2.769 eV/atom
# * raw formation energy: -96.3 kJ per mole of atoms
data_Rb2TeICl6
_space_group_name_H-M_alt 'P 1'
_space_group_IT_number 1
_space_group_name_Hall 'P 1'
_cell_length_a 8.5308
_cell_length_b 8.5308
_cell_length_c 8.1030
_cell_angle_alpha 58.24
_cell_angle_beta 58.24
_cell_angle_gamma 90.00
loop_
_atom_site_label
_atom_site_type_symbol
_atom_site_fract_x
_atom_site_fract_y
_atom_site_fract_z
Rb1 Rb 0.7500 0.2500 0.5000
Rb2 Rb 0.2500 0.7500 0.5000
Cl1 Cl 0.7125 0.7125 0.0000
Cl2 Cl 0.2875 0.7125 0.0000
Cl3 Cl 0.7428 0.7428 0.5144
Cl4 Cl 0.2875 0.2875 0.0000
Cl5 Cl 0.2572 0.2572 0.4856
Cl6 Cl 0.7125 0.2875 0.0000
I1 I 0.0000 0.0000 0.0000
Te1 Te 0.5000 0.5000 0.0000



# 3
# PBE Ba2MgTlO, relaxed
# * space group: No. 123
# * uncorrected energy: -3.614 eV/atom
# * raw formation energy: -102.4 kJ per mole of atoms
data_Ba2MgTlO
_space_group_name_H-M_alt 'P 1'
_space_group_IT_number 1
_space_group_name_Hall 'P 1'
_cell_length_a 5.8410
_cell_length_b 5.8410
_cell_length_c 4.2890
_cell_angle_alpha 90.00
_cell_angle_beta 90.00
_cell_angle_gamma 90.00
loop_
_atom_site_label
_atom_site_type_symbol
_atom_site_fract_x
_atom_site_fract_y
_atom_site_fract_z
Tl1 Tl 0.5000 0.5000 0.5000
Ba1 Ba 0.5000 0.0000 0.0000
Ba2 Ba 0.0000 0.5000 0.0000
Mg1 Mg 0.0000 0.0000 0.5000
O1 O 0.0000 0.0000 0.0000